A plane-wave DFT calculation with GGA-PBE was carried out for a geometry-optimized CsGe2H6 structure.

Geometry as CIF:
```
data_CsGe2H6
_symmetry_space_group_name_H-M 'C 1 2/c 1'
_symmetry_Int_Tables_number 15
_symmetry_space_group_name_Hall '-C 2yc'
_cell_length_a 11.493
_cell_length_b 9.945
_cell_length_c 7.133
_cell_angle_alpha 90.00
_cell_angle_beta 123.35
_cell_angle_gamma 90.00
loop_
_atom_site_label
_atom_site_type_symbol
_atom_site_fract_x
_atom_site_fract_y
_atom_site_fract_z
Cs1 Cs 0.000 0.196 0.250
Ge1 Ge 0.174 0.497 0.671
H1 H 0.147 0.496 0.397
H2 H 0.162 0.030 0.687
H3 H 0.197 0.338 0.699
```

Summary:
electronic total energy = -3.31 eV per atom
DOS at the Fermi energy = 0.122 states/eV per atom
mass density = 2.77 g cm⁻³